A relaxed structure of BaCa2Y. Source: Alexandria, functional PBE.

```
BaCa2Y
1.0
6.515 -1.935 0.000
6.515 1.935 0.000
-1.166 0.000 6.788
Ba Ca Y
1 2 1
direct
0.000 0.000 0.000
0.242 0.242 0.733
0.758 0.758 0.267
0.500 0.500 0.500
```

## Properties
As for the formation energy: 159 meV per atom. The total energy comes out at -2.939 eV/atom. The total magnetization comes out at 0.7 μB per formula unit. The energy above the lowest structure with this stoichiometry is 0.054 eV per atom. The space group is No. 12.

A relaxed structure of Ba2CaY2. Source: Alexandria, functional PBE.

```
Ba2CaY2
1.0
10.580 0.000 0.000
0.000 10.580 0.000
0.000 0.000 4.006
Ba Ca Y
4 2 4
direct
0.183 0.317 0.000
0.317 0.817 0.000
0.683 0.183 0.000
0.817 0.683 0.000
0.000 0.000 0.500
0.500 0.500 0.500
0.112 0.612 0.500
0.388 0.112 0.500
0.612 0.888 0.500
0.888 0.388 0.500
```

## Properties
As for the formation energy: 315 meV per atom. The total energy comes out at -3.440 eV/atom. The total magnetization comes out at 1.3 μB per formula unit. The energy above the lowest structure with this stoichiometry is 0.000 eV per atom. The space group is No. 127.

A relaxed structure of BaCaY2. Source: Alexandria, functional PBE.

```
BaCaY2
1.0
1.890 1.091 12.567
-1.890 1.091 12.567
0.000 -2.182 12.567
Ba Ca Y
1 1 2
direct
0.000 0.000 0.000
0.500 0.500 0.500
0.247 0.247 0.247
0.753 0.753 0.753
```

## Properties
As for the formation energy: 211 meV per atom. The total energy comes out at -4.002 eV/atom. The total magnetization comes out at 0.0 μB per formula unit. The energy above the lowest structure with this stoichiometry is 0.093 eV per atom. The space group is No. 166.

A relaxed structure of BaCa2Y. Source: Alexandria, functional PBE.

```
BaCa2Y
1.0
1.947 1.124 12.845
-1.947 1.124 12.845
0.000 -2.248 12.845
Ba Ca Y
1 2 1
direct
0.000 0.000 0.000
0.243 0.243 0.243
0.494 0.494 0.494
0.750 0.750 0.750
```

## Properties
As for the formation energy: 135 meV per atom. The total energy comes out at -2.963 eV/atom. The total magnetization comes out at 0.2 μB per formula unit. The energy above the lowest structure with this stoichiometry is 0.030 eV per atom. The space group is No. 160.

A relaxed structure of BaCa2Y. Source: Alexandria, functional PBE.

```
BaCa2Y
1.0
1.954 1.128 12.895
-1.954 1.128 12.895
0.000 -2.257 12.895
Ba Ca Y
1 2 1
direct
0.000 0.000 0.000
0.243 0.243 0.243
0.757 0.757 0.757
0.500 0.500 0.500
```

## Properties
As for the formation energy: 134 meV per atom. The total energy comes out at -2.964 eV/atom. The total magnetization comes out at 0.7 μB per formula unit. The energy above the lowest structure with this stoichiometry is 0.029 eV per atom. The space group is No. 166.

A relaxed structure of Ba3CaY. Source: Alexandria, functional PBE.

```
Ba3CaY
1.0
6.549 0.000 0.000
0.000 6.549 0.000
0.000 0.000 6.549
Ba Ca Y
3 1 1
direct
0.000 0.000 0.500
0.000 0.500 0.000
0.500 0.000 0.000
0.000 0.000 0.000
0.500 0.500 0.500
```

## Properties
As for the formation energy: 763 meV per atom. The total energy comes out at -2.083 eV/atom. The total magnetization comes out at 0.0 μB per formula unit. The energy above the lowest structure with this stoichiometry is 0.223 eV per atom. The space group is No. 221.

A relaxed structure of BaCaY2. Source: Alexandria, functional PBE.

```
BaCaY2
1.0
4.138 0.000 0.000
0.000 4.138 0.000
0.000 0.000 9.397
Ba Ca Y
1 1 2
direct
0.000 0.000 0.000
0.000 0.000 0.500
0.500 0.500 0.292
0.500 0.500 0.708
```

## Properties
As for the formation energy: 237 meV per atom. The total energy comes out at -3.976 eV/atom. The total magnetization comes out at 0.0 μB per formula unit. The energy above the lowest structure with this stoichiometry is 0.119 eV per atom. The space group is No. 123.

A relaxed structure of BaCaY2. Source: Alexandria, functional PBE.

```
BaCaY2
1.0
6.035 0.000 0.000
0.000 6.035 0.000
0.000 0.000 4.307
Ba Ca Y
1 1 2
direct
0.000 0.000 0.000
0.500 0.500 0.000
0.000 0.500 0.500
0.500 0.000 0.500
```

## Properties
As for the formation energy: 292 meV per atom. The total energy comes out at -3.921 eV/atom. The total magnetization comes out at 0.0 μB per formula unit. The energy above the lowest structure with this stoichiometry is 0.174 eV per atom. The space group is No. 123.

A relaxed structure of BaCa2Y. Source: Alexandria, functional PBE.

```
BaCa2Y
1.0
-2.122 3.148 6.331
2.122 -3.148 6.331
2.122 3.148 -6.331
Ba Ca Y
1 2 1
direct
0.000 0.000 0.000
0.264 0.764 0.500
0.736 0.236 0.500
0.500 0.500 0.000
```

## Properties
As for the formation energy: 159 meV per atom. The total energy comes out at -2.938 eV/atom. The total magnetization comes out at 0.0 μB per formula unit. The energy above the lowest structure with this stoichiometry is 0.054 eV per atom. The space group is No. 71.

A relaxed structure of BaCa2Y. Source: Alexandria, functional PBE.

```
BaCa2Y
1.0
2.265 -3.023 0.000
2.265 3.023 0.000
0.000 0.000 12.367
Ba Ca Y
1 2 1
direct
0.000 0.000 0.000
0.500 0.500 0.271
0.500 0.500 0.729
0.000 0.000 0.500
```

## Properties
As for the formation energy: 132 meV per atom. The total energy comes out at -2.966 eV/atom. The total magnetization comes out at 0.0 μB per formula unit. The energy above the lowest structure with this stoichiometry is 0.027 eV per atom. The space group is No. 65.

A relaxed structure of BaCaY2. Source: Alexandria, functional PBE.

```
BaCaY2
1.0
0.000 4.282 4.282
4.282 0.000 4.282
4.282 4.282 0.000
Ba Ca Y
1 1 2
direct
0.000 0.000 0.000
0.500 0.500 0.500
0.250 0.250 0.250
0.750 0.750 0.750
```

## Properties
As for the formation energy: 272 meV per atom. The total energy comes out at -3.941 eV/atom. The total magnetization comes out at 0.0 μB per formula unit. The energy above the lowest structure with this stoichiometry is 0.154 eV per atom. The space group is No. 225.

A relaxed structure of Ba2Ca2Y. Source: Alexandria, functional PBE.

```
Ba2Ca2Y
1.0
10.332 0.000 0.000
0.000 10.332 0.000
0.000 0.000 4.452
Ba Ca Y
4 4 2
direct
0.172 0.328 0.000
0.328 0.828 0.000
0.672 0.172 0.000
0.828 0.672 0.000
0.131 0.631 0.500
0.369 0.131 0.500
0.631 0.869 0.500
0.869 0.369 0.500
0.000 0.000 0.500
0.500 0.500 0.500
```

## Properties
As for the formation energy: 322 meV per atom. The total energy comes out at -2.541 eV/atom. The total magnetization comes out at 1.9 μB per formula unit. The space group is No. 127.